Crystalline Ca2PrIn at its relaxed geometry, computed with PBE-GGA.

Geometry as POSCAR:
```
Ca2PrIn
1.0
4.954 0.000 0.000
0.000 4.954 0.000
0.000 0.000 5.323
Ca Pr In
2 1 1
Direct
0.000 0.500 0.000
0.500 0.000 0.000
0.000 0.000 0.500
0.500 0.500 0.500
```

## Properties
Total energy, eV per atom: -3.127
SG: P4/mmm, No. 123
ΔH_f (0 K), meV/atom: -246.8
Relative energy among the computed polymorphs, meV/atom: 0.0